A relaxed K3FeO3 crystal. Source: the Alexandria database, functional PBE with a Hubbard U.

Values from the calculation:
DOS(E_F)   0.0 states/eV/f.u.
E   -0.178 hartree per atom
Volume   18.92 A^3/atom
Space group   C2/m (12)
Energy relative to the lowest polymorph listed for this composition   0.000 eV/f.u.

abc: 6.7134 6.7134 6.6115
angles: 96.04 96.04 114.98
Sites, in units of the cell vectors:
K 0.1928 0.8072 0.0000
K 0.2582 0.7418 0.5000
K 0.3728 0.3728 0.1474
K 0.6272 0.6272 0.8526
K 0.7418 0.2582 0.5000
K 0.8072 0.1928 0.0000
Fe 0.1714 0.1714 0.6456
Fe 0.8286 0.8286 0.3544
O 0.0993 0.0993 0.3398
O 0.1591 0.4319 0.7652
O 0.4319 0.1591 0.7652
O 0.5681 0.8409 0.2348
O 0.8409 0.5681 0.2348
O 0.9007 0.9007 0.6602